<P>
The following is a PBE calculation of a relaxed structure of Ga2BiCl, from Alexandria.

The crystal system is cubic.

Cell lengths 7.2560, 7.2560, 7.2560 Å; angles 90.00, 90.00, 90.00 degrees
With the nearest neighbours (Å) after each atom.
Space group Fm-3m (No. 225)
Unique sites:
Ga1 0.2500 0.2500 0.2500 (multiplicity 8)  4 Cl 3.14, 4 Bi 3.14
Bi1 0.0000 0.0000 0.0000 (multiplicity 4)  8 Ga 3.14
Cl1 0.0000 0.0000 0.5000 (multiplicity 4)  8 Ga 3.14



<Q>
The following is a PBE calculation of a relaxed structure of Ga2BiCl, from Alexandria.

The crystal system is tetragonal.

Cell lengths 6.0735, 6.0735, 14.8844 Å; angles 90.00, 90.00, 90.00 degrees
With the nearest neighbours (Å) after each atom.
Space group I-42d (No. 122)
Unique sites:
Ga1 0.2337 0.2500 0.1250 (multiplicity 8)  2 Cl 2.79, 2 Bi 2.90
Bi1 0.0000 0.0000 0.5000 (multiplicity 4)  4 Ga 2.90
Cl1 0.0000 0.0000 0.0000 (multiplicity 4)  4 Ga 2.79



Of them, <P> has the highest stability.



<P>
The following is a PBE calculation of a relaxed structure of GaBiPCl2, from Alexandria.

The crystal system is tetragonal.

Cell lengths 5.4917, 5.4917, 5.4192 Å; angles 90.00, 90.00, 90.00 degrees
With the nearest neighbours (Å) after each atom.
Space group P4/mmm (No. 123)
Unique sites:
Ga1 0.0000 0.0000 0.0000 (multiplicity 1)  8 Cl 3.86, 4 P 3.88
Bi1 0.5000 0.5000 0.5000 (multiplicity 1)  2 P 2.71, 4 Cl 2.75
P1 0.5000 0.5000 0.0000 (multiplicity 1)  2 Bi 2.71
Cl1 0.0000 0.5000 0.5000 (multiplicity 2)  2 Bi 2.75



<Q>
The following is a PBE calculation of a relaxed structure of GaBiPCl2, from Alexandria.

The crystal system is tetragonal.

Cell lengths 4.7689, 4.7689, 5.0919 Å; angles 90.00, 90.00, 90.00 degrees
With the nearest neighbours (Å) after each atom.
Space group P4/mmm (No. 123)
Unique sites:
Ga1 0.0000 0.0000 0.0000 (multiplicity 1)  4 Cl 2.38, 2 P 2.55
Bi1 0.5000 0.5000 0.5000 (multiplicity 1)  4 P 3.37, 8 Cl 3.49
P1 0.0000 0.0000 0.5000 (multiplicity 1)  2 Ga 2.55
Cl1 0.0000 0.5000 0.0000 (multiplicity 2)  2 Ga 2.38



Of them, <Q> has the highest stability.



<P>
The following is a PBE calculation of a relaxed structure of GeBi2Cl8, from Alexandria.

The crystal system is monoclinic.

Cell lengths 19.0555, 3.7996, 9.7675 Å; angles 90.00, 91.26, 90.00 degrees
With the nearest neighbours (Å) after each atom.
Space group C2/m (No. 12)
Unique sites:
Ge1 0.0000 0.0000 0.0000 (multiplicity 2)  6 Cl 2.68-2.72
Bi1 0.1539 0.5000 0.2710 (multiplicity 4)  7 Cl 2.74-2.98
Cl1 0.0017 0.5000 0.1933 (multiplicity 4)  2 Ge 2.68, 1 Bi 2.98
Cl2 0.0990 0.0000 0.4400 (multiplicity 4)  2 Bi 2.74
Cl3 0.1411 0.0000 0.0474 (multiplicity 4)  1 Ge 2.72, 2 Bi 2.90
Cl4 0.2398 0.5000 0.6936 (multiplicity 4)  2 Bi 2.79



<Q>
The following is a PBE calculation of a relaxed structure of GeBi2Cl8, from Alexandria.

The crystal system is monoclinic.

Cell lengths 14.2077, 6.9165, 8.3017 Å; angles 90.00, 96.90, 90.00 degrees
With the nearest neighbours (Å) after each atom.
Space group C2/m (No. 12)
Unique sites:
Ge1 0.0000 0.0000 0.0000 (multiplicity 2)  6 Cl 2.66-2.73
Bi1 0.1402 0.0000 0.3836 (multiplicity 4)  3 Cl 2.56-2.58
Cl1 0.0649 0.0000 0.7125 (multiplicity 4)  1 Ge 2.66, 1 Bi 2.93
Cl2 0.1302 0.2499 0.1521 (multiplicity 8)  1 Bi 2.58, 1 Ge 2.73
Cl3 0.1784 0.5000 0.5578 (multiplicity 4)  1 Bi 2.56



Of them, <P> has the highest stability.